This record from Alexandria describes a relaxed structure of SmAlZnNi3. The functional is GGA-PBE.

a b c (Å): 5.501 11.735 6.019
angles (deg): 90.00 90.00 90.00
Space group Cmcm (No. 63)
Unique sites:
Sm1 0.000 0.184 0.250 (multiplicity 4)
Al1 0.000 0.134 0.750 (multiplicity 4)
Zn1 0.000 0.422 0.250 (multiplicity 4)
Ni1 0.000 0.352 0.750 (multiplicity 4)
Ni2 0.223 0.000 0.000 (multiplicity 8)

Results
E_form ... -0.203 eV/atom
Size of the total moment ... 0.00 μB per formula unit
DOS at the Fermi energy ... 14.3 states/eV/cell